A plane-wave DFT calculation with PBE was carried out for a relaxed CeNd3Sm6Ho2 crystal.

Computed properties:
N(E_F) in states/eV/f.u.: 21.24
Energy of formation from the pure elements in eV per formula unit: 0.5
SG: C2/m, No. 12

a b c (Å): 6.270 6.270 12.012
angles (deg): 95.01 95.01 120.01
Fractional coordinates of all 12 atoms:
Ce1 0.000 0.000 0.000
Sm1 0.918 0.587 0.754
Sm2 0.413 0.082 0.246
Sm3 0.250 0.250 0.754
Nd1 0.167 0.833 0.500
Sm4 0.587 0.918 0.754
Sm5 0.750 0.750 0.246
Nd2 0.500 0.500 0.500
Ho1 0.667 0.333 0.000
Ho2 0.333 0.667 0.000
Nd3 0.833 0.167 0.500
Sm6 0.082 0.413 0.246


A plane-wave DFT calculation with PBE was carried out for a relaxed CeNd6SmHo2 crystal.

Computed properties:
N(E_F) in states/eV/f.u.: 22.80
Energy of formation from the pure elements in eV per formula unit: 2.4
SG: C2/m, No. 12

a b c (Å): 8.920 7.030 6.664
angles (deg): 121.83 100.97 90.00
Fractional coordinates of all 10 atoms:
Ce1 0.000 0.500 0.000
Ho1 0.159 0.092 0.184
Nd1 0.418 0.629 0.258
Sm1 0.500 0.000 0.000
Nd2 0.201 0.595 0.659
Nd3 0.201 0.065 0.659
Nd4 0.799 0.935 0.341
Nd5 0.582 0.371 0.742
Ho2 0.841 0.908 0.816
Nd6 0.799 0.405 0.341


A plane-wave DFT calculation with PBE was carried out for a relaxed Ce2NdSm6Ho3 crystal.

Computed properties:
N(E_F) in states/eV/f.u.: 24.05
Energy of formation from the pure elements in eV per formula unit: 0.7
SG: C2/m, No. 12

a b c (Å): 6.216 6.216 11.896
angles (deg): 95.01 95.01 120.02
Fractional coordinates of all 12 atoms:
Sm1 0.252 0.252 0.749
Sm2 0.916 0.579 0.749
Ce1 0.667 0.333 0.000
Ho1 0.834 0.166 0.500
Ce2 0.333 0.667 0.000
Sm3 0.579 0.916 0.749
Ho2 0.166 0.834 0.500
Sm4 0.748 0.748 0.251
Sm5 0.084 0.421 0.251
Nd1 0.000 0.000 0.000
Ho3 0.500 0.500 0.500
Sm6 0.421 0.084 0.251


A plane-wave DFT calculation with PBE was carried out for a relaxed Ce2NdSm3Ho6 crystal.

Computed properties:
N(E_F) in states/eV/f.u.: 20.99
Energy of formation from the pure elements in eV per formula unit: 0.6
SG: C2/m, No. 12

a b c (Å): 6.178 6.178 11.730
angles (deg): 95.03 95.03 120.00
Fractional coordinates of all 12 atoms:
Ho1 0.581 0.917 0.752
Ho2 0.253 0.253 0.752
Ce1 0.667 0.333 0.000
Sm1 0.834 0.166 0.500
Ho3 0.419 0.083 0.248
Nd1 0.000 0.000 0.000
Ho4 0.917 0.581 0.752
Ho5 0.747 0.747 0.248
Sm2 0.500 0.500 0.500
Sm3 0.166 0.834 0.500
Ce2 0.333 0.667 0.000
Ho6 0.083 0.419 0.248


A plane-wave DFT calculation with PBE was carried out for a relaxed CeNdSm6Ho2 crystal.

Computed properties:
N(E_F) in states/eV/f.u.: 23.20
Energy of formation from the pure elements in eV per formula unit: 2.5
SG: C2/m, No. 12

a b c (Å): 8.961 6.855 6.658
angles (deg): 120.99 102.21 90.00
Fractional coordinates of all 10 atoms:
Sm1 0.197 0.592 0.660
Sm2 0.197 0.068 0.660
Sm3 0.803 0.932 0.340
Sm4 0.803 0.408 0.340
Ce1 0.000 0.500 0.000
Sm5 0.584 0.371 0.741
Ho1 0.838 0.909 0.819
Ho2 0.162 0.091 0.181
Sm6 0.416 0.629 0.259
Nd1 0.500 0.000 0.000


A plane-wave DFT calculation with PBE was carried out for a relaxed CeNdHoSn crystal.

Computed properties:
N(E_F) in states/eV/f.u.: 7.61
Energy of formation from the pure elements in eV per formula unit: -0.8
SG: F-43m, No. 216

a b c (Å): 5.436 5.436 5.436
angles (deg): 60.00 60.00 60.00
Fractional coordinates of all 4 atoms:
Ce1 0.500 0.500 0.500
Sn1 0.000 0.000 0.000
Ho1 0.750 0.750 0.750
Nd1 0.250 0.250 0.250


A plane-wave DFT calculation with PBE was carried out for a relaxed Tb2CeNdHo5 crystal.

Computed properties:
N(E_F) in states/eV/f.u.: 15.87
Energy of formation from the pure elements in eV per formula unit: 1.6
SG: Cmc2_1, No. 36

a b c (Å): 5.688 11.111 9.577
angles (deg): 90.00 90.00 104.83
Fractional coordinates of all 18 atoms:
Ho1 0.013 0.025 0.015
Ho2 0.693 0.385 0.217
Ho3 0.529 0.057 0.245
Tb1 0.113 0.226 0.322
Ho4 0.266 0.532 0.335
Nd1 0.597 0.194 0.924
Tb2 0.138 0.276 0.703
Ho5 0.471 0.943 0.745
Ho6 0.394 0.789 0.040
Ce1 0.804 0.609 0.522
Ho7 0.734 0.468 0.835
Tb3 0.887 0.774 0.822
Ho8 0.987 0.975 0.515
Ce2 0.196 0.391 0.022
Nd2 0.403 0.806 0.424
Ho9 0.307 0.615 0.717
Tb4 0.862 0.724 0.203
Ho10 0.606 0.211 0.540


A plane-wave DFT calculation with PBE was carried out for a relaxed TbCeNd6Ho2 crystal.

Computed properties:
N(E_F) in states/eV/f.u.: 22.33
Energy of formation from the pure elements in eV per formula unit: 2.4
SG: C2/m, No. 12

a b c (Å): 8.878 7.062 6.664
angles (deg): 122.00 101.27 90.00
Fractional coordinates of all 10 atoms:
Ho1 0.837 0.909 0.817
Nd1 0.418 0.627 0.255
Nd2 0.798 0.938 0.344
Nd3 0.798 0.405 0.344
Nd4 0.202 0.595 0.656
Nd5 0.202 0.062 0.656
Ho2 0.163 0.091 0.183
Nd6 0.582 0.373 0.745
Tb1 0.500 0.000 0.000
Ce1 0.000 0.500 0.000


A plane-wave DFT calculation with PBE was carried out for a relaxed Tb4CeNdHo2 crystal.

Computed properties:
N(E_F) in states/eV/f.u.: 13.49
Energy of formation from the pure elements in eV per formula unit: 0.3
SG: P2/m, No. 10

a b c (Å): 3.557 6.155 11.837
angles (deg): 80.05 90.00 90.00
Fractional coordinates of all 8 atoms:
Tb1 0.000 0.749 0.748
Tb2 0.000 0.251 0.252
Ho1 0.500 0.000 0.500
Ce1 0.000 0.500 0.500
Tb3 0.500 0.746 0.253
Ho2 0.000 0.000 0.000
Tb4 0.500 0.254 0.747
Nd1 0.500 0.500 0.000


A plane-wave DFT calculation with PBE was carried out for a relaxed TbCeNdHo3 crystal.

Computed properties:
N(E_F) in states/eV/f.u.: 15.11
Energy of formation from the pure elements in eV per formula unit: 0.9
SG: Cmcm, No. 63

a b c (Å): 5.871 6.311 11.751
angles (deg): 90.00 90.00 117.72
Fractional coordinates of all 12 atoms:
Ho1 0.330 0.660 0.999
Ce1 0.501 0.002 0.750
Ho2 0.330 0.660 0.501
Ho3 0.670 0.340 0.001
Nd1 0.000 0.000 0.000
Ho4 0.670 0.340 0.499
Ce2 0.499 0.998 0.250
Ho5 0.171 0.343 0.750
Tb1 0.174 0.348 0.250
Tb2 0.826 0.652 0.750
Nd2 0.000 0.000 0.500
Ho6 0.829 0.657 0.250


A plane-wave DFT calculation with PBE was carried out for a relaxed Tb6CeNd3Ho2 crystal.

Computed properties:
N(E_F) in states/eV/f.u.: 19.17
Energy of formation from the pure elements in eV per formula unit: 0.4
SG: C2/m, No. 12

a b c (Å): 6.212 6.212 11.869
angles (deg): 95.01 95.01 119.99
Fractional coordinates of all 12 atoms:
Tb1 0.587 0.918 0.754
Tb2 0.413 0.082 0.246
Nd1 0.833 0.167 0.500
Nd2 0.167 0.833 0.500
Tb3 0.082 0.413 0.246
Nd3 0.500 0.500 0.500
Ho1 0.667 0.333 0.000
Tb4 0.249 0.249 0.754
Ho2 0.333 0.667 0.000
Tb5 0.751 0.751 0.246
Ce1 0.000 0.000 0.000
Tb6 0.918 0.587 0.754


A plane-wave DFT calculation with PBE was carried out for a relaxed Tb3Ce2NdHo6 crystal.

Computed properties:
N(E_F) in states/eV/f.u.: 21.61
Energy of formation from the pure elements in eV per formula unit: 0.6
SG: C2/m, No. 12

a b c (Å): 6.139 6.139 11.719
angles (deg): 95.01 95.01 120.00
Fractional coordinates of all 12 atoms:
Ho1 0.916 0.580 0.750
Ho2 0.580 0.916 0.750
Ho3 0.252 0.252 0.750
Ho4 0.748 0.748 0.250
Ce1 0.333 0.667 0.000
Tb1 0.166 0.834 0.500
Ho5 0.420 0.084 0.250
Nd1 0.000 0.000 0.000
Ho6 0.084 0.420 0.250
Tb2 0.500 0.500 0.500
Tb3 0.834 0.166 0.500
Ce2 0.667 0.333 0.000